{"formula": "BeP2Au", "functional": "PBE-GGA", "state": "relaxed", "lattice_angstrom": [[3.467, 0.000, 0.000], [-1.734, 3.003, 0.000], [0.000, 0.000, 17.210]], "species": ["Be", "Be", "Be", "P", "P", "P", "P", "P", "P", "Au", "Au", "Au"], "frac_coords": [[0.000, 0.000, 0.000], [0.333, 0.667, 0.667], [0.667, 0.333, 0.333], [0.000, 0.000, 0.266], [0.000, 0.000, 0.734], [0.333, 0.667, 0.401], [0.333, 0.667, 0.932], [0.667, 0.333, 0.068], [0.667, 0.333, 0.599], [0.000, 0.000, 0.500], [0.333, 0.667, 0.167], [0.667, 0.333, 0.833]], "crystal_system": "trigonal", "formation_energy_ev_per_atom": 0.277, "sg": "R-3m", "energy_ev_per_atom": -4.18, "magnetic_moment_mub_per_fu": 0.0}


{"formula": "BeP4Au", "functional": "PBE-GGA", "state": "relaxed", "lattice_angstrom": [[0.000, 3.590, 3.590], [3.590, 0.000, 3.590], [3.590, 3.590, 0.000]], "species": ["Be", "P", "P", "P", "P", "Au"], "frac_coords": [[0.000, 0.000, 0.000], [0.374, 0.374, 0.374], [0.374, 0.374, 0.877], [0.374, 0.877, 0.374], [0.877, 0.374, 0.374], [0.750, 0.750, 0.750]], "crystal_system": "cubic", "formation_energy_ev_per_atom": 0.827, "sg": "F-43m", "energy_ev_per_atom": -3.95, "magnetic_moment_mub_per_fu": 0.0}


{"formula": "BePAu2", "functional": "PBE-GGA", "state": "relaxed", "lattice_angstrom": [[3.782, 0.000, 0.000], [0.000, 4.030, 0.000], [0.000, 0.000, 4.071]], "species": ["Be", "P", "Au", "Au"], "frac_coords": [[0.000, 0.000, 0.000], [0.000, 0.500, 0.500], [0.500, 0.000, 0.500], [0.500, 0.500, 0.000]], "crystal_system": "orthorhombic", "formation_energy_ev_per_atom": 0.322, "sg": "Pmmm", "energy_ev_per_atom": -3.60, "magnetic_moment_mub_per_fu": 0.0}


{"formula": "TaBePAu2", "functional": "PBE-GGA", "state": "relaxed", "lattice_angstrom": [[4.239, 0.000, 0.000], [0.000, 4.239, 0.000], [0.000, 0.000, 4.702]], "species": ["Ta", "Be", "P", "Au", "Au"], "frac_coords": [[0.000, 0.000, 0.000], [0.000, 0.000, 0.500], [0.500, 0.500, 0.000], [0.000, 0.500, 0.500], [0.500, 0.000, 0.500]], "crystal_system": "tetragonal", "formation_energy_ev_per_atom": 0.551, "sg": "P4/mmm", "energy_ev_per_atom": -4.96, "magnetic_moment_mub_per_fu": 0.0}


{"formula": "PaBeAu2", "functional": "PBE-GGA", "state": "relaxed", "lattice_angstrom": [[2.998, 0.000, 0.000], [0.000, 2.998, 0.000], [0.000, 0.000, 7.748]], "species": ["Pa", "Be", "Au", "Au"], "frac_coords": [[0.000, 0.000, 0.000], [0.000, 0.000, 0.500], [0.500, 0.500, 0.313], [0.500, 0.500, 0.687]], "crystal_system": "tetragonal", "formation_energy_ev_per_atom": -0.181, "sg": "P4/mmm", "energy_ev_per_atom": -5.12, "magnetic_moment_mub_per_fu": 0.5}


{"formula": "PaBeAu", "functional": "PBE-GGA", "state": "relaxed", "lattice_angstrom": [[4.362, 0.000, 0.000], [-2.181, 3.778, 0.000], [0.000, 0.000, 3.417]], "species": ["Pa", "Be", "Au"], "frac_coords": [[0.000, 0.000, 0.000], [0.667, 0.333, 0.500], [0.333, 0.667, 0.500]], "crystal_system": "hexagonal", "formation_energy_ev_per_atom": -0.191, "sg": "P-6m2", "energy_ev_per_atom": -5.69, "magnetic_moment_mub_per_fu": 0.4}


Copy entry 1 word for word.
{"formula": "BeP2Au", "functional": "PBE-GGA", "state": "relaxed", "lattice_angstrom": [[3.467, 0.000, 0.000], [-1.734, 3.003, 0.000], [0.000, 0.000, 17.210]], "species": ["Be", "Be", "Be", "P", "P", "P", "P", "P", "P", "Au", "Au", "Au"], "frac_coords": [[0.000, 0.000, 0.000], [0.333, 0.667, 0.667], [0.667, 0.333, 0.333], [0.000, 0.000, 0.266], [0.000, 0.000, 0.734], [0.333, 0.667, 0.401], [0.333, 0.667, 0.932], [0.667, 0.333, 0.068], [0.667, 0.333, 0.599], [0.000, 0.000, 0.500], [0.333, 0.667, 0.167], [0.667, 0.333, 0.833]], "crystal_system": "trigonal", "formation_energy_ev_per_atom": 0.277, "sg": "R-3m", "energy_ev_per_atom": -4.18, "magnetic_moment_mub_per_fu": 0.0}